Record 1
! SiBP2Au PBE-GGA optimized geometry; values from VASP
! - Uncorrected formation energy: 0.008 eV per atom
! - Energy: -0.38452 Ry per atom
! - Magnetic moment: 0.00 μB per cell
&SYSTEM
  ibrav = 0, nat = 5, ntyp = 4
/
ATOMIC_SPECIES
Si 28.09 Si.upf
B 10.81 B.upf
P 30.97 P.upf
Au 196.97 Au.upf
CELL_PARAMETERS angstrom
3.348 0.000 0.000
-1.212 4.154 0.000
-0.688 -2.079 5.949
ATOMIC_POSITIONS angstrom
Si 0.000 0.000 0.000
B 1.235 0.664 4.479
P -0.444 0.724 3.407
P 1.719 1.459 0.035
Au 2.077 2.827 2.043

Record 2
! Sr3MgNb2O9 PBE-GGA optimized geometry; values from VASP
! - Uncorrected formation energy: -2.864 eV per atom
! - Energy: -0.56039 Ry per atom
! - Magnetic moment: 0.00 μB per cell
&SYSTEM
  ibrav = 0, nat = 15, ntyp = 4
/
ATOMIC_SPECIES
Sr 87.62 Sr.upf
Mg 24.30 Mg.upf
Nb 92.91 Nb.upf
O 16.00 O.upf
CELL_PARAMETERS angstrom
5.734 0.000 0.000
-2.867 4.966 0.000
0.000 0.000 7.040
ATOMIC_POSITIONS angstrom
Sr 0.000 0.000 0.000
Sr 0.000 3.311 4.712
Sr 2.867 1.655 2.328
Mg 0.000 0.000 3.520
Nb 0.000 3.311 1.278
Nb 2.867 1.655 5.762
O -1.434 2.483 0.000
O 0.000 1.673 2.315
O -1.418 4.129 2.315
O 1.449 0.837 4.725
O 2.867 0.000 0.000
O 1.434 2.483 0.000
O 1.418 4.129 2.315
O 4.285 0.837 4.725
O 2.867 3.293 4.725

Record 3
! Nd2Zn3Ge4 PBE-GGA optimized geometry; values from VASP
! - ΔH_f (0 K): -434 meV/atom
! - Energy: -0.29185 Ry per atom
! - Magnetic moment: 0.00 μB per cell
&SYSTEM
  ibrav = 0, nat = 18, ntyp = 3
/
ATOMIC_SPECIES
Nd 144.24 Nd.upf
Zn 65.41 Zn.upf
Ge 72.64 Ge.upf
CELL_PARAMETERS angstrom
2.951 -7.714 0.000
2.951 7.714 0.000
0.000 0.000 7.895
ATOMIC_POSITIONS angstrom
Nd 2.951 5.932 7.236
Nd 2.951 1.782 3.289
Nd 2.951 -1.782 4.606
Nd 2.951 -5.932 0.659
Zn 0.000 0.000 3.947
Zn 1.475 3.289 5.921
Zn 1.475 -3.289 1.974
Zn 2.951 0.000 0.000
Zn 4.426 3.289 5.921
Zn 4.426 -3.289 1.974
Ge 2.951 4.795 4.319
Ge 1.475 0.747 5.921
Ge 1.475 -0.747 1.974
Ge 2.951 2.919 0.372
Ge 2.951 -2.919 7.523
Ge 4.426 0.747 5.921
Ge 4.426 -0.747 1.974
Ge 2.951 -4.795 3.575

Record 4
! CeTmCu PBE-GGA optimized geometry; values from VASP
! - ΔH_f (0 K): 125 meV/atom
! - Energy: -0.34607 Ry per atom
! - Magnetic moment: 0.90 μB per cell
&SYSTEM
  ibrav = 0, nat = 3, ntyp = 3
/
ATOMIC_SPECIES
Ce 140.12 Ce.upf
Tm 168.93 Tm.upf
Cu 63.55 Cu.upf
CELL_PARAMETERS angstrom
4.800 0.000 0.000
-2.400 4.157 0.000
0.000 0.000 3.584
ATOMIC_POSITIONS angstrom
Ce 0.000 0.000 0.000
Tm 0.000 2.771 1.983
Cu 2.400 1.386 1.309

Which of these has the highest magnetic moment?
CeTmCu